The following is a DFT calculation (GGA-PBEsol) of a relaxed structure of Ba2TiHg.

Results
- E_form: 327.7 meV/atom

Unit cell a=5.7591 b=5.7591 c=5.7591 alpha=60.00 beta=60.00 gamma=60.00
Closest atoms and distances in Å follow each position.
Fractional positions:
Ti 0.0000 0.0000 0.0000  8 Ba 3.53
Hg 0.5000 0.5000 0.5000  8 Ba 3.53
Ba 0.2500 0.2500 0.2500  4 Hg 3.53, 4 Ti 3.53
Ba 0.7500 0.7500 0.7500  4 Hg 3.53, 4 Ti 3.53

The following is a DFT calculation (GGA-PBEsol) of a relaxed structure of RbLiH12Se3N4.

Results
- E: -98.5 eV per formula unit

Unit cell a=5.9161 b=10.1708 c=19.1521 alpha=81.98 beta=81.12 gamma=73.09
Closest atoms and distances in Å follow each position.
Fractional positions:
Rb 0.7909 0.6133 0.7612  6 H 3.20-3.56, 7 Se 3.46-3.58
Rb 0.1653 0.8867 0.7388  6 H 3.20-3.56, 7 Se 3.46-3.58
Rb 0.2091 0.3867 0.2388  6 H 3.20-3.56, 7 Se 3.46-3.58
Rb 0.8347 0.1133 0.2612  6 H 3.20-3.56, 7 Se 3.46-3.58
Li 0.1896 0.7559 0.0472  4 N 2.05-2.08
Li 0.9927 0.7441 0.4528  4 N 2.05-2.08
Li 0.8104 0.2441 0.9528  4 N 2.05-2.08
Li 0.0073 0.2559 0.5472  4 N 2.05-2.08
H 0.8283 0.3825 0.6586  1 N 1.03
H 0.8694 0.1175 0.8414  1 N 1.03
H 0.1717 0.6175 0.3414  1 N 1.03
H 0.1306 0.8825 0.1586  1 N 1.03
H 0.0548 0.2505 0.6813  1 N 1.03
H 0.9866 0.2495 0.8187  1 N 1.03
H 0.9452 0.7495 0.3187  1 N 1.03
H 0.0134 0.7505 0.1813  1 N 1.03
H 0.0784 0.5112 0.0736  1 N 1.04
H 0.6632 0.9888 0.4264  1 N 1.04
H 0.9216 0.4888 0.9264  1 N 1.04
H 0.3368 0.0112 0.5736  1 N 1.04
H 0.2463 0.5240 0.9967  1 N 1.03
H 0.7670 0.9760 0.5033  1 N 1.03
H 0.7537 0.4760 0.0033  1 N 1.03
H 0.2330 0.0240 0.4967  1 N 1.03
H 0.6233 0.1805 0.5722  1 N 1.03
H 0.3759 0.3195 0.9278  1 N 1.03
H 0.3767 0.8195 0.4278  1 N 1.03
H 0.6241 0.6805 0.0722  1 N 1.03
H 0.3673 0.4954 0.0720  1 N 1.04
H 0.9347 0.0046 0.4280  1 N 1.04
H 0.6327 0.5046 0.9280  1 N 1.04
H 0.0653 0.9954 0.5720  1 N 1.04
H 0.2225 0.8844 0.9214  1 N 1.04
H 0.0282 0.6156 0.5786  1 N 1.04
H 0.7775 0.1156 0.0786  1 N 1.04
H 0.9718 0.3844 0.4214  1 N 1.04
H 0.1064 0.3972 0.6454  1 N 1.04
H 0.1490 0.1028 0.8546  1 N 1.04
H 0.8936 0.6028 0.3546  1 N 1.04
H 0.8510 0.8972 0.1454  1 N 1.04
H 0.9465 0.9568 0.9524  1 N 1.03
H 0.8557 0.5432 0.5476  1 N 1.03
H 0.0535 0.0432 0.0476  1 N 1.03
H 0.1443 0.4568 0.4524  1 N 1.03
H 0.5437 0.3487 0.5797  1 N 1.03
H 0.4721 0.1513 0.9203  1 N 1.03
H 0.4563 0.6513 0.4203  1 N 1.03
H 0.5279 0.8487 0.0797  1 N 1.03
H 0.0177 0.8048 0.9234  1 N 1.03
H 0.7459 0.6952 0.5766  1 N 1.03
H 0.9823 0.1952 0.0766  1 N 1.03
H 0.2541 0.3048 0.4234  1 N 1.03
H 0.5749 0.2914 0.5012  1 N 1.03
H 0.3676 0.2086 0.9988  1 N 1.03
H 0.4251 0.7086 0.4988  1 N 1.03
H 0.6324 0.7914 0.0012  1 N 1.03
Se 0.3753 0.4178 0.7729  2 Se 2.37
Se 0.5660 0.0822 0.7271  2 Se 2.37
Se 0.6247 0.5822 0.2271  2 Se 2.37
Se 0.4340 0.9178 0.2729  2 Se 2.37
Se 0.2628 0.5799 0.8586  1 Se 2.37, 3 H 2.56-2.62
Se 0.7013 0.9201 0.6414  1 Se 2.37, 3 H 2.56-2.62
Se 0.7372 0.4201 0.1414  1 Se 2.37, 3 H 2.56-2.62
Se 0.2987 0.0799 0.3586  1 Se 2.37, 3 H 2.56-2.62
Se 0.3709 0.5541 0.6621  1 Se 2.37, 1 H 2.62
Se 0.5871 0.9459 0.8379  1 Se 2.37, 1 H 2.62
Se 0.6291 0.4459 0.3379  1 Se 2.37, 1 H 2.62
Se 0.4129 0.0541 0.1621  1 Se 2.37, 1 H 2.62
N 0.0037 0.3314 0.6432  3 H 1.03-1.04
N 0.9783 0.1686 0.8568  3 H 1.03-1.04
N 0.9963 0.6686 0.3568  3 H 1.03-1.04
N 0.0217 0.8314 0.1432  3 H 1.03-1.04
N 0.2170 0.5497 0.0482  3 H 1.03-1.04
N 0.8149 0.9503 0.4518  3 H 1.03-1.04
N 0.7830 0.4503 0.9518  3 H 1.03-1.04
N 0.1851 0.0497 0.5482  3 H 1.03-1.04
N 0.0753 0.8638 0.9528  3 H 1.03-1.04
N 0.8919 0.6362 0.5472  3 H 1.03-1.04
N 0.9247 0.1362 0.0472  3 H 1.03-1.04
N 0.1081 0.3638 0.4528  3 H 1.03-1.04
N 0.6476 0.2736 0.5481  3 H 1.03
N 0.4692 0.2264 0.9519  3 H 1.03
N 0.3524 0.7264 0.4519  3 H 1.03
N 0.5308 0.7736 0.0481  3 H 1.03

The following is a DFT calculation (GGA-PBEsol) of a relaxed structure of LaFe2Hg.

Results
- E_form: 438.2 meV/atom

Unit cell a=4.8023 b=4.8023 c=4.8023 alpha=60.00 beta=60.00 gamma=60.00
Closest atoms and distances in Å follow each position.
Fractional positions:
Fe 0.0000 0.0000 0.0000  4 La 2.94, 4 Fe 2.94
Fe 0.7500 0.7500 0.7500  4 Hg 2.94, 4 Fe 2.94
Hg 0.5000 0.5000 0.5000  4 Fe 2.94, 4 La 2.94
La 0.2500 0.2500 0.2500  4 Hg 2.94, 4 Fe 2.94

The following is a DFT calculation (GGA-PBEsol) of a relaxed structure of Sr3TaAs.

Results
- E_form: 1017.0 meV/atom

Unit cell a=5.6096 b=5.6096 c=5.6096 alpha=90.00 beta=90.00 gamma=90.00
Closest atoms and distances in Å follow each position.
Fractional positions:
Sr 0.0000 0.5000 0.0000  2 Ta 2.80
Sr 0.0000 0.0000 0.5000  2 Ta 2.80
Sr 0.5000 0.0000 0.0000  2 Ta 2.80
As 0.5000 0.5000 0.5000  12 Sr 3.97
Ta 0.0000 0.0000 0.0000  6 Sr 2.80

The following is a DFT calculation (GGA-PBEsol) of a relaxed structure of Tb2AgIr.

Results
- E_form: -574.0 meV/atom

Unit cell a=4.9059 b=4.9059 c=4.9059 alpha=60.00 beta=60.00 gamma=60.00
Closest atoms and distances in Å follow each position.
Fractional positions:
Ir 0.0000 0.0000 0.0000  8 Tb 3.00
Tb 0.7500 0.7500 0.7500  4 Ir 3.00, 4 Ag 3.00
Tb 0.2500 0.2500 0.2500  4 Ir 3.00, 4 Ag 3.00
Ag 0.5000 0.5000 0.5000  8 Tb 3.00

The following is a DFT calculation (GGA-PBEsol) of a relaxed structure of YMo.

Results
- E_form: 611.8 meV/atom

Unit cell a=2.9577 b=2.9577 c=4.7909 alpha=90.00 beta=90.00 gamma=107.97
Closest atoms and distances in Å follow each position.
Fractional positions:
Y 0.5000 0.5000 0.5000  4 Y 2.96, 4 Mo 2.96
Mo 0.0000 0.0000 0.0000  4 Mo 2.96, 4 Y 2.96

The following is a DFT calculation (GGA-PBEsol) of a relaxed structure of BaHf2FeCu.

Results
- E_form: 419.9 meV/atom

Unit cell a=4.7094 b=4.7094 c=4.9990 alpha=90.00 beta=90.00 gamma=90.00
Closest atoms and distances in Å follow each position.
Fractional positions:
Hf 0.0000 0.5000 0.0000  2 Fe 2.35
Hf 0.5000 0.0000 0.0000  2 Fe 2.35
Ba 0.5000 0.5000 0.5000  4 Cu 3.33, 8 Hf 3.43
Cu 0.0000 0.0000 0.5000  2 Fe 2.50
Fe 0.0000 0.0000 0.0000  4 Hf 2.35, 2 Cu 2.50

The following is a DFT calculation (GGA-PBEsol) of a relaxed structure of Sr2HBrF.

Results
- E: -14.3 eV per formula unit

Unit cell a=5.2017 b=5.6671 c=5.6671 alpha=90.00 beta=90.00 gamma=90.00
Closest atoms and distances in Å follow each position.
Fractional positions:
Sr 0.0000 0.0000 0.5000  2 Br 2.83
Sr 0.0000 0.5000 0.0000  2 Br 2.83
H 0.5000 0.5000 0.5000  8 Sr 3.85, 4 F 4.01
Br 0.0000 0.0000 0.0000  2 F 2.60, 4 Sr 2.83
F 0.5000 0.0000 0.0000  2 Br 2.60

What did the fifth record say?
The following is a DFT calculation (GGA-PBEsol) of a relaxed structure of Tb2AgIr.

Results
- E_form: -574.0 meV/atom

Unit cell a=4.9059 b=4.9059 c=4.9059 alpha=60.00 beta=60.00 gamma=60.00
Closest atoms and distances in Å follow each position.
Fractional positions:
Ir 0.0000 0.0000 0.0000  8 Tb 3.00
Tb 0.7500 0.7500 0.7500  4 Ir 3.00, 4 Ag 3.00
Tb 0.2500 0.2500 0.2500  4 Ir 3.00, 4 Ag 3.00
Ag 0.5000 0.5000 0.5000  8 Tb 3.00